CoReP2Cl | PBE | optimized geometry

Structure (POSCAR):
```
CoReP2Cl
1.0
4.3718 0.0000 0.0000
0.0000 4.3718 0.0000
0.0000 0.0000 4.4246
Co Re P Cl
1 1 2 1
Direct
0.0000 0.0000 0.0000
0.5000 0.5000 0.5000
0.0000 0.5000 0.0000
0.5000 0.0000 0.0000
0.0000 0.0000 0.5000
```

Properties
Total magnetization ... 2.78 μB per formula unit
E_form (uncorrected) ... 1.13 eV/atom
Energy ... -26.6 eV for the cell shown
Fermi-level density of states ... 3.8 states/eV per cell